# 1
# Ac2NdGe4Rh3

Ac2NdGe4Rh3 after structural relaxation (PBE, the Alexandria database).

Cell and atoms, written as CIF:
```
data_Ac2NdGe4Rh3
_cell_length_a 4.4217
_cell_length_b 4.4217
_cell_length_c 11.3566
_cell_angle_alpha 90.00
_cell_angle_beta 90.00
_cell_angle_gamma 90.00
_space_group_name_H-M_alt 'P 1'
_space_group_IT_number 1
_space_group_name_Hall 'P 1'
loop_
_atom_site_label
_atom_site_fract_x
_atom_site_fract_y
_atom_site_fract_z
Ac1 0.0000 0.5000 0.2263
Ac2 0.5000 0.0000 0.7737
Nd1 0.0000 0.0000 0.5000
Ge1 0.0000 0.0000 0.0000
Ge2 0.0000 0.5000 0.6716
Ge3 0.5000 0.0000 0.3284
Ge4 0.5000 0.5000 0.0000
Rh1 0.0000 0.5000 0.8916
Rh2 0.5000 0.0000 0.1084
Rh3 0.5000 0.5000 0.5000
```

Properties
SG: P-4m2 (115)
DFT formation energy in kJ per mole of atoms: -71.9



# 2
# AcNdGeSe

AcNdGeSe after structural relaxation (PBE, the Alexandria database).

Cell and atoms, written as CIF:
```
data_AcNdGeSe
_cell_length_a 7.6890
_cell_length_b 7.6890
_cell_length_c 7.6890
_cell_angle_alpha 33.45
_cell_angle_beta 33.45
_cell_angle_gamma 33.45
_space_group_name_H-M_alt 'P 1'
_space_group_IT_number 1
_space_group_name_Hall 'P 1'
loop_
_atom_site_label
_atom_site_fract_x
_atom_site_fract_y
_atom_site_fract_z
Ac1 0.0000 0.0000 0.0000
Nd1 0.5069 0.5069 0.5069
Ge1 0.2484 0.2484 0.2484
Se1 0.7578 0.7578 0.7578
```

Properties
Formation energy from raw total energies in eV per atom: -1.360
SG: R3m (160)



# 3
# AcNdSnGe

AcNdSnGe after structural relaxation (PBE, the Alexandria database).

Cell and atoms, written as CIF:
```
data_AcNdSnGe
_cell_length_a 5.5383
_cell_length_b 5.5383
_cell_length_c 5.5383
_cell_angle_alpha 60.00
_cell_angle_beta 60.00
_cell_angle_gamma 60.00
_space_group_name_H-M_alt 'P 1'
_space_group_IT_number 1
_space_group_name_Hall 'P 1'
loop_
_atom_site_label
_atom_site_fract_x
_atom_site_fract_y
_atom_site_fract_z
Ac1 0.0000 0.0000 0.0000
Nd1 0.5000 0.5000 0.5000
Sn1 0.7500 0.7500 0.7500
Ge1 0.2500 0.2500 0.2500
```

Properties
SG: F-43m (216)
DFT formation energy in kJ per mole of atoms: -49.4



# 4
# AcNd2Zn2Ge2

AcNd2Zn2Ge2 after structural relaxation (PBE, the Alexandria database).

Cell and atoms, written as CIF:
```
data_AcNd2Zn2Ge2
_cell_length_a 12.1955
_cell_length_b 12.1955
_cell_length_c 12.1955
_cell_angle_alpha 20.08
_cell_angle_beta 20.08
_cell_angle_gamma 20.08
_space_group_name_H-M_alt 'P 1'
_space_group_IT_number 1
_space_group_name_Hall 'P 1'
loop_
_atom_site_label
_atom_site_fract_x
_atom_site_fract_y
_atom_site_fract_z
Ac1 0.0000 0.0000 0.0000
Nd1 0.1242 0.1242 0.1242
Nd2 0.8758 0.8758 0.8758
Zn1 0.3976 0.3976 0.3976
Zn2 0.6024 0.6024 0.6024
Ge1 0.2648 0.2648 0.2648
Ge2 0.7352 0.7352 0.7352
```

Properties
SG: R-3m (166)
DFT formation energy in kJ per mole of atoms: -44.6



# 5
# Ac3Ni4Ge4

Ac3Ni4Ge4 after structural relaxation (PBE, the Alexandria database).

Cell and atoms, written as CIF:
```
data_Ac3Ni4Ge4
_cell_length_a 12.6512
_cell_length_b 12.6512
_cell_length_c 4.2922
_cell_angle_alpha 99.72
_cell_angle_beta 99.72
_cell_angle_gamma 19.91
_space_group_name_H-M_alt 'P 1'
_space_group_IT_number 1
_space_group_name_Hall 'P 1'
loop_
_atom_site_label
_atom_site_fract_x
_atom_site_fract_y
_atom_site_fract_z
Ac1 0.0000 0.0000 0.0000
Ac2 0.1514 0.1514 0.6517
Ac3 0.8486 0.8486 0.3483
Ni1 0.2487 0.2487 0.2486
Ni2 0.3998 0.3998 0.9001
Ni3 0.6002 0.6002 0.0999
Ni4 0.7513 0.7513 0.7514
Ge1 0.2983 0.2983 0.7979
Ge2 0.4462 0.4462 0.4464
Ge3 0.5538 0.5538 0.5536
Ge4 0.7017 0.7017 0.2021
```

Properties
SG: C2/m (12)
DFT formation energy in kJ per mole of atoms: -61.7



# 6
# Ac2NiGe

Ac2NiGe after structural relaxation (PBE, the Alexandria database).

Cell and atoms, written as CIF:
```
data_Ac2NiGe
_cell_length_a 10.0699
_cell_length_b 10.0699
_cell_length_c 10.0699
_cell_angle_alpha 22.49
_cell_angle_beta 22.49
_cell_angle_gamma 22.49
_space_group_name_H-M_alt 'P 1'
_space_group_IT_number 1
_space_group_name_Hall 'P 1'
loop_
_atom_site_label
_atom_site_fract_x
_atom_site_fract_y
_atom_site_fract_z
Ac1 0.0915 0.0915 0.0915
Ac2 0.9085 0.9085 0.9085
Ni1 0.0000 0.0000 0.0000
Ge1 0.5000 0.5000 0.5000
```

Properties
E above lowest polymorph in eV per formula unit: 3.27
SG: R-3m (166)
DFT formation energy in kJ per mole of atoms: 32.1



# 7
# Ac6NiGe2

Ac6NiGe2 after structural relaxation (PBE, the Alexandria database).

Cell and atoms, written as CIF:
```
data_Ac6NiGe2
_cell_length_a 7.0507
_cell_length_b 8.4887
_cell_length_c 12.5845
_cell_angle_alpha 90.00
_cell_angle_beta 122.76
_cell_angle_gamma 90.00
_space_group_name_H-M_alt 'P 1'
_space_group_IT_number 1
_space_group_name_Hall 'P 1'
loop_
_atom_site_label
_atom_site_fract_x
_atom_site_fract_y
_atom_site_fract_z
Ac1 0.0818 0.1768 0.4347
Ac2 0.0818 0.3232 0.9347
Ac3 0.3021 0.6830 0.4429
Ac4 0.3021 0.8170 0.9429
Ac5 0.3858 0.0383 0.2461
Ac6 0.3858 0.4617 0.7461
Ac7 0.6142 0.5383 0.2539
Ac8 0.6142 0.9617 0.7539
Ac9 0.6979 0.1830 0.0571
Ac10 0.6979 0.3170 0.5571
Ac11 0.9182 0.6768 0.0653
Ac12 0.9182 0.8232 0.5653
Ni1 0.5000 0.0000 0.5000
Ni2 0.5000 0.5000 0.0000
Ge1 0.1798 0.1198 0.7498
Ge2 0.1798 0.3802 0.2498
Ge3 0.8202 0.6198 0.7502
Ge4 0.8202 0.8802 0.2502
```

Properties
SG: P2_1/c (14)
DFT formation energy in kJ per mole of atoms: -36.4



# 8
# Ac2NiGe

Ac2NiGe after structural relaxation (PBE, the Alexandria database).

Cell and atoms, written as CIF:
```
data_Ac2NiGe
_cell_length_a 5.3911
_cell_length_b 5.3911
_cell_length_c 5.3911
_cell_angle_alpha 60.00
_cell_angle_beta 60.00
_cell_angle_gamma 60.00
_space_group_name_H-M_alt 'P 1'
_space_group_IT_number 1
_space_group_name_Hall 'P 1'
loop_
_atom_site_label
_atom_site_fract_x
_atom_site_fract_y
_atom_site_fract_z
Ac1 0.2500 0.2500 0.2500
Ac2 0.7500 0.7500 0.7500
Ni1 0.0000 0.0000 0.0000
Ge1 0.5000 0.5000 0.5000
```

Properties
E above lowest polymorph in eV per formula unit: 0.56
SG: Fm-3m (225)
DFT formation energy in kJ per mole of atoms: -33.1